Record 1
Below is ZrPd4Pt2 after structural relaxation, with properties calculated at the GGA-PBE level.

Output
As for the space group: C2/m, No. 12. As for the electronic total energy: -6.216 eV/atom. The value obtained for the volume is 118 Å³/cell. Its energy of formation is -302 meV per atom.

Cell lengths 5.195, 5.195, 5.007 Å; angles 93.14, 93.14, 118.26 degrees
Fractional coordinates of all 7 atoms:
Zr 0.000 0.000 0.000
Pd 0.000 0.500 0.000
Pd 0.173 0.827 0.500
Pd 0.500 0.000 0.000
Pd 0.827 0.173 0.500
Pt 0.444 0.444 0.738
Pt 0.556 0.556 0.262

---

Record 2
Below is Zr2PdPt4 after structural relaxation, with properties calculated at the GGA-PBE level.

Output
As for the space group: I4/mmm, No. 139. As for the electronic total energy: -6.450 eV/atom. The value obtained for the volume is 157 Å³/cell. Its energy of formation is 186 meV per atom.

Cell lengths 7.458, 7.458, 7.458 Å; angles 141.91, 141.91, 54.96 degrees
Fractional coordinates of all 7 atoms:
Zr 0.119 0.119 0.000
Zr 0.881 0.881 0.000
Pd 0.500 0.500 0.000
Pt 0.000 0.500 0.500
Pt 0.303 0.303 0.000
Pt 0.500 0.000 0.500
Pt 0.697 0.697 0.000